Record 1
Computed, not measured: Zn3Si after structural relaxation at the PBE-GGA level of DFT.

The structure in extended XYZ format:
```
8
Lattice="3.888 0.000 0.000 0.000 3.888 0.000 0.000 0.000 8.091" Properties=species:S:1:pos:R:3 pbc="T T T"
Zn 0.000 0.000 0.000
Zn 0.000 1.944 2.023
Zn 0.000 1.944 6.068
Zn 1.944 0.000 2.023
Zn 1.944 0.000 6.068
Zn 1.944 1.944 4.046
Si 0.000 0.000 4.046
Si 1.944 1.944 0.000
```

Results
* ΔE_f (raw): 191 meV per atom


Record 2
Computed, not measured: ZnSi2 after structural relaxation at the PBE-GGA level of DFT.

The structure in extended XYZ format:
```
12
Lattice="13.481 0.000 0.000 0.000 2.585 0.000 -2.237 0.000 5.392" Properties=species:S:1:pos:R:3 pbc="T T T"
Zn -0.061 0.000 1.645
Zn 4.564 1.292 3.747
Zn 6.679 1.292 1.645
Zn 11.305 0.000 3.747
Si -0.346 1.292 5.370
Si 1.396 1.292 3.518
Si 3.107 0.000 1.874
Si 4.850 0.000 0.022
Si 6.394 0.000 5.370
Si 8.137 0.000 3.518
Si 9.848 1.292 1.874
Si 11.590 1.292 0.022
```

Results
* ΔE_f (raw): 355 meV per atom


Record 3
Computed, not measured: ZnSi2 after structural relaxation at the PBE-GGA level of DFT.

The structure in extended XYZ format:
```
9
Lattice="3.165 0.000 0.000 -1.583 2.741 0.000 0.000 0.000 16.632" Properties=species:S:1:pos:R:3 pbc="T T T"
Zn 0.000 0.000 0.000
Zn 0.000 1.827 11.088
Zn 1.583 0.914 5.544
Si 0.000 0.000 9.141
Si 0.000 0.000 12.999
Si 0.000 1.827 3.597
Si 0.000 1.827 7.455
Si 1.583 0.914 1.911
Si 1.583 0.914 14.685
```

Results
* ΔE_f (raw): 401 meV per atom


Record 4
Computed, not measured: Zn2Si after structural relaxation at the PBE-GGA level of DFT.

The structure in extended XYZ format:
```
12
Lattice="4.004 0.000 0.000 0.000 11.382 0.000 0.000 0.000 4.065" Properties=species:S:1:pos:R:3 pbc="T T T"
Zn 0.000 0.000 0.000
Zn 0.000 1.874 2.032
Zn 0.000 5.691 2.032
Zn 0.000 9.509 2.032
Zn 2.002 0.000 2.032
Zn 2.002 3.818 2.032
Zn 2.002 5.691 0.000
Zn 2.002 7.565 2.032
Si 0.000 3.727 0.000
Si 0.000 7.655 0.000
Si 2.002 1.964 0.000
Si 2.002 9.418 0.000
```

Results
* ΔE_f (raw): 237 meV per atom


Record 5
Computed, not measured: ZnSi2 after structural relaxation at the PBE-GGA level of DFT.

The structure in extended XYZ format:
```
12
Lattice="4.020 0.000 0.000 0.000 10.331 0.000 0.000 0.000 4.445" Properties=species:S:1:pos:R:3 pbc="T T T"
Zn 0.000 1.709 0.000
Zn 0.000 8.622 0.000
Zn 2.010 3.457 0.000
Zn 2.010 6.874 0.000
Si 0.000 0.000 2.223
Si 0.000 3.505 2.223
Si 0.000 5.166 0.000
Si 0.000 6.826 2.223
Si 2.010 0.000 0.000
Si 2.010 1.660 2.223
Si 2.010 5.166 2.223
Si 2.010 8.671 2.223
```

Results
* ΔE_f (raw): 424 meV per atom


Record 6
Computed, not measured: ZnSi after structural relaxation at the PBE-GGA level of DFT.

The structure in extended XYZ format:
```
8
Lattice="0.000 3.999 5.061 3.678 0.000 5.061 3.678 3.999 0.000" Properties=species:S:1:pos:R:3 pbc="T T T"
Zn 2.759 0.287 3.795
Zn 4.598 2.286 6.326
Zn 2.759 5.712 3.795
Zn 4.598 7.711 6.326
Si 2.759 2.999 2.630
Si 2.759 2.999 4.961
Si 4.598 4.998 5.160
Si 4.598 4.998 7.492
```

Results
* ΔE_f (raw): 325 meV per atom


Record 7
Computed, not measured: ZnSi3 after structural relaxation at the PBE-GGA level of DFT.

The structure in extended XYZ format:
```
12
Lattice="2.698 0.000 0.000 -1.349 2.337 0.000 0.000 0.000 28.182" Properties=species:S:1:pos:R:3 pbc="T T T"
Zn 0.000 0.000 0.000
Zn 0.000 1.558 18.788
Zn 1.349 0.779 9.394
Si 0.000 0.000 6.982
Si 0.000 0.000 14.091
Si 0.000 0.000 21.201
Si 0.000 1.558 4.697
Si 0.000 1.558 11.807
Si 0.000 1.558 25.770
Si 1.349 0.779 2.413
Si 1.349 0.779 16.376
Si 1.349 0.779 23.485
```

Results
* distance to the lowest polymorph of the same formula: 156 meV/atom
* ΔE_f (raw): 419 meV per atom


Record 8
Computed, not measured: ZnSi after structural relaxation at the PBE-GGA level of DFT.

The structure in extended XYZ format:
```
12
Lattice="3.760 0.000 0.000 -1.880 3.256 0.000 0.000 0.000 17.158" Properties=species:S:1:pos:R:3 pbc="T T T"
Zn 0.000 0.000 3.586
Zn 0.000 0.000 13.572
Zn 0.000 2.171 7.853
Zn 0.000 2.171 15.025
Zn 1.880 1.085 2.133
Zn 1.880 1.085 9.306
Si 0.000 0.000 6.268
Si 0.000 0.000 10.891
Si 0.000 2.171 0.548
Si 0.000 2.171 5.171
Si 1.880 1.085 11.987
Si 1.880 1.085 16.610
```

Results
* ΔE_f (raw): 248 meV per atom